VASP calculation (GGA+U) on crystalline YWIO2 at its relaxed geometry.

Results
Offset from the most stable computed form = 51 kJ/mol of formula units
D(E_F) = 4.2 states/eV/f.u.

Lattice parameters (Å, degrees): 4.3642 4.3642 6.4118 90.00 90.00 90.00
Space group P4/mmm (No. 123)
Unique sites:
Y 0.0000 0.0000 0.0000 [1 per cell]
W 0.5000 0.5000 0.5000 [1 per cell]
I 0.0000 0.0000 0.5000 [1 per cell]
O 0.0000 0.5000 0.0000 [2 per cell]